Record 1
The following is a PBE-GGA calculation of crystalline LiH6Pd12 at its relaxed geometry, from Alexandria via LeMat-Bulk.

POSCAR file:
```
LiH6Pd12
1.0
-1.314 -2.526 -5.853
-0.660 -5.046 4.058
-5.181 3.723 1.289
Li H Pd
1 6 12
Direct
0.000 0.000 0.000
0.448 0.139 0.139
0.139 0.139 0.448
0.139 0.448 0.139
0.861 0.861 0.552
0.552 0.861 0.861
0.861 0.552 0.861
0.867 0.133 0.500
0.817 0.548 0.548
0.548 0.548 0.817
0.452 0.183 0.452
0.452 0.452 0.183
0.183 0.452 0.452
0.133 0.500 0.867
0.500 0.867 0.133
0.133 0.867 0.500
0.867 0.500 0.133
0.500 0.133 0.867
0.548 0.817 0.548
```

## Properties
Calculated total energy, eV for the cell shown: -83.7
Symmetry: No. 166

Record 2
The following is a PBE-GGA calculation of crystalline PmGePd at its relaxed geometry, from Alexandria via LeMat-Bulk.

POSCAR file:
```
PmGePd
1.0
4.481 0.000 0.000
0.000 7.690 0.000
0.000 0.000 14.472
Pm Ge Pd
8 8 8
Direct
0.500 0.788 0.748
0.000 0.292 0.500
0.500 0.703 0.500
0.000 0.297 0.000
0.000 0.212 0.752
0.000 0.212 0.248
0.500 0.708 0.000
0.500 0.788 0.252
0.000 0.911 0.595
0.000 0.591 0.854
0.500 0.409 0.354
0.000 0.591 0.146
0.500 0.409 0.646
0.000 0.911 0.405
0.500 0.089 0.095
0.500 0.089 0.905
0.000 0.922 0.108
0.000 0.922 0.892
0.500 0.418 0.845
0.000 0.582 0.345
0.500 0.418 0.155
0.500 0.078 0.392
0.500 0.078 0.608
0.000 0.582 0.655
```

## Properties
Calculated total energy, eV for the cell shown: -139.5
ΔE_f, eV per atom: -0.96
Symmetry: No. 59
Energy above the most stable polymorph in this dataset, eV/atom: 0.000

Record 3
The following is a PBE-GGA calculation of crystalline CaIn3Rh3 at its relaxed geometry, from Alexandria via LeMat-Bulk.

POSCAR file:
```
CaIn3Rh3
1.0
7.235 0.000 0.000
0.000 7.235 0.000
0.000 0.000 7.235
Ca Rh In
2 6 6
Direct
0.500 0.500 0.500
0.000 0.000 0.000
0.250 0.000 0.500
0.000 0.500 0.250
0.500 0.750 0.000
0.750 0.000 0.500
0.000 0.500 0.750
0.500 0.250 0.000
0.000 0.250 0.500
0.000 0.750 0.500
0.500 0.000 0.750
0.750 0.500 0.000
0.500 0.000 0.250
0.250 0.500 0.000
```

## Properties
Calculated total energy, eV for the cell shown: -62.8
ΔE_f, eV per atom: 0.12
Symmetry: No. 223

Record 4
The following is a PBE-GGA calculation of crystalline Co3POs at its relaxed geometry, from Alexandria via LeMat-Bulk.

POSCAR file:
```
Co3POs
1.0
4.421 0.000 0.000
0.000 4.421 0.000
0.000 0.000 4.421
Co Os P
3 1 1
Direct
0.000 0.500 0.000
0.000 0.000 0.500
0.500 0.000 0.000
0.000 0.000 0.000
0.500 0.500 0.500
```

## Properties
Calculated total energy, eV for the cell shown: -29.5
ΔE_f, eV per atom: 1.69
Symmetry: No. 221
Energy above the most stable polymorph in this dataset, eV/atom: 0.960

Record 5
The following is a PBE-GGA calculation of crystalline ErTiOsRu at its relaxed geometry, from Alexandria via LeMat-Bulk.

POSCAR file:
```
ErTiOsRu
1.0
4.565 0.000 0.000
2.282 3.953 0.000
2.282 1.318 3.727
Ru Ti Os Er
1 1 1 1
Direct
0.500 0.500 0.500
0.250 0.250 0.250
0.000 0.000 0.000
0.750 0.750 0.750
```

## Properties
Calculated total energy, eV for the cell shown: -34.5
ΔE_f, eV per atom: -0.39
Symmetry: No. 216

Record 6
The following is a PBE-GGA calculation of crystalline Sm2InGaPt6 at its relaxed geometry, from Alexandria via LeMat-Bulk.

POSCAR file:
```
Sm2InGaPt6
1.0
-0.376 2.722 4.900
-4.339 -6.998 3.555
0.281 -6.066 6.612
Sm In Ga Pt
2 1 1 6
Direct
0.299 0.702 0.402
0.701 0.298 0.598
0.500 0.500 0.000
0.000 0.000 0.000
0.244 0.754 0.017
0.739 0.754 0.017
0.244 0.260 0.512
0.756 0.246 0.983
0.261 0.246 0.983
0.756 0.740 0.488
```

## Properties
Calculated total energy, eV for the cell shown: -59.2
ΔE_f, eV per atom: -0.78
Symmetry: No. 12

Record 7
The following is a PBE-GGA calculation of crystalline BaScOs2 at its relaxed geometry, from Alexandria via LeMat-Bulk.

POSCAR file:
```
BaScOs2
1.0
4.820 0.000 0.000
2.410 4.174 0.000
2.410 1.391 3.935
Ba Os Sc
1 2 1
Direct
0.500 0.500 0.500
0.000 0.000 0.000
0.250 0.250 0.250
0.750 0.750 0.750
```

## Properties
Calculated total energy, eV for the cell shown: -27.1
ΔE_f, eV per atom: 0.90
Symmetry: No. 216
Energy above the most stable polymorph in this dataset, eV/atom: 0.771

Record 8
The following is a PBE-GGA calculation of crystalline TmThBeTc at its relaxed geometry, from Alexandria via LeMat-Bulk.

POSCAR file:
```
TmThBeTc
1.0
-2.407 1.636 -3.961
-2.595 -3.127 -2.765
-4.911 0.198 0.016
Be Tm Tc Th
1 1 1 1
Direct
0.000 0.000 0.000
0.750 0.750 0.750
0.500 0.500 0.500
0.250 0.250 0.250
```

## Properties
Calculated total energy, eV for the cell shown: -25.8
ΔE_f, eV per atom: 0.04
Symmetry: No. 216

Record 9
The following is a PBE-GGA calculation of crystalline Ba3InI at its relaxed geometry, from Alexandria via LeMat-Bulk.

POSCAR file:
```
Ba3InI
1.0
-1.383 -3.727 -2.400
8.712 -0.526 -4.201
3.631 -6.740 8.375
Ba In I
6 2 2
Direct
0.750 0.478 0.159
0.250 0.522 0.841
0.750 0.022 0.159
0.250 0.978 0.841
0.750 0.250 0.582
0.250 0.750 0.418
0.750 0.250 0.897
0.250 0.750 0.103
0.250 0.250 0.330
0.750 0.750 0.670
```

## Properties
Calculated total energy, eV for the cell shown: -26.4
Raw formation energy, eV/atom: -0.631
Symmetry: No. 59
Energy above the most stable polymorph in this dataset, eV/atom: 0.017

Record 10
The following is a PBE-GGA calculation of crystalline Tb8PmTh2 at its relaxed geometry, from Alexandria via LeMat-Bulk.

POSCAR file:
```
Tb8PmTh2
1.0
-1.506 -4.024 3.574
-2.736 -5.587 -8.044
4.044 -6.724 -6.468
Tb Pm Th
8 1 2
Direct
0.263 0.138 0.598
0.263 0.598 0.138
0.737 0.862 0.402
0.238 0.547 0.547
0.737 0.402 0.862
0.232 0.183 0.183
0.768 0.817 0.817
0.762 0.453 0.453
0.000 0.000 0.000
0.737 0.282 0.282
0.263 0.718 0.718
```

## Properties
Calculated total energy, eV for the cell shown: -54.6
ΔE_f, eV per atom: 0.19
Symmetry: No. 12
Energy above the most stable polymorph in this dataset, eV/atom: 0.000

Record 11
The following is a PBE-GGA calculation of crystalline PrDyIrPd at its relaxed geometry, from Alexandria via LeMat-Bulk.

POSCAR file:
```
PrDyIrPd
1.0
-0.233 0.016 4.997
2.017 -3.761 2.610
4.145 0.765 2.694
Pr Ir Pd Dy
1 1 1 1
Direct
0.250 0.250 0.250
0.000 0.000 0.000
0.500 0.500 0.500
0.750 0.750 0.750
```

## Properties
Calculated total energy, eV for the cell shown: -26.4
ΔE_f, eV per atom: -0.75
Symmetry: No. 216
Energy above the most stable polymorph in this dataset, eV/atom: 0.020

Record 12
The following is a PBE-GGA calculation of crystalline Ta3Cd at its relaxed geometry, from Alexandria via LeMat-Bulk.

POSCAR file:
```
Ta3Cd
1.0
-1.675 -1.483 -1.694
3.541 -0.005 -3.497
2.006 -4.595 2.038
Cd Ta
1 3
Direct
0.000 0.000 0.018
0.000 0.500 0.323
0.500 0.000 0.520
0.500 0.500 0.806
```

## Properties
Calculated total energy, eV for the cell shown: -35.2
ΔE_f, eV per atom: 0.31
Symmetry: No. 25
Energy above the most stable polymorph in this dataset, eV/atom: 0.192

calculated total energy of number 8 (TmThBeTc)? -25.8 eV for the cell shown

Copy entry 9 word for word.
The following is a PBE-GGA calculation of crystalline Ba3InI at its relaxed geometry, from Alexandria via LeMat-Bulk.

POSCAR file:
```
Ba3InI
1.0
-1.383 -3.727 -2.400
8.712 -0.526 -4.201
3.631 -6.740 8.375
Ba In I
6 2 2
Direct
0.750 0.478 0.159
0.250 0.522 0.841
0.750 0.022 0.159
0.250 0.978 0.841
0.750 0.250 0.582
0.250 0.750 0.418
0.750 0.250 0.897
0.250 0.750 0.103
0.250 0.250 0.330
0.750 0.750 0.670
```

## Properties
Calculated total energy, eV for the cell shown: -26.4
Raw formation energy, eV/atom: -0.631
Symmetry: No. 59
Energy above the most stable polymorph in this dataset, eV/atom: 0.017

Number 11 is which compound? PrDyIrPd

Among the records above, which one has the highest calculated total energy? TmThBeTc